1.
! ZnCdNi2Os (PBE, optimized geometry); values from VASP
! DFT formation energy: 1.88 eV/atom
! SG: P4/mmm (123)
! E: -3.115 eV/atom
&SYSTEM
  ibrav = 0, nat = 5, ntyp = 4
/
ATOMIC_SPECIES
Cd 112.41 Cd.upf
Ni 58.69 Ni.upf
Os 190.23 Os.upf
Zn 65.41 Zn.upf
ATOMIC_POSITIONS angstrom
Cd 0.000 0.000 0.000
Ni 0.087 -0.194 2.281
Ni -2.233 0.497 0.127
Os -0.549 -2.421 -0.185
Zn -2.695 -2.118 2.224
CELL_PARAMETERS angstrom
-4.467 0.993 0.254
-1.098 -4.842 -0.369
0.174 -0.387 4.563

2.
! Sr2Mg2Tl7In (PBE, optimized geometry); values from VASP
! DFT formation energy: -0.08 eV/atom
! SG: C2/m (12)
! E: -2.231 eV/atom
&SYSTEM
  ibrav = 0, nat = 12, ntyp = 4
/
ATOMIC_SPECIES
Tl 204.38 Tl.upf
Mg 24.30 Mg.upf
In 114.82 In.upf
Sr 87.62 Sr.upf
ATOMIC_POSITIONS angstrom
Tl 2.506 2.503 0.213
Tl 5.699 3.303 13.734
Tl 2.529 2.526 7.368
Tl 2.449 4.835 2.770
Tl 3.310 5.695 13.734
Tl 4.838 2.443 2.770
Tl 5.619 5.612 9.136
Mg 5.837 5.830 12.064
Mg 2.311 2.309 4.440
In 0.000 0.000 0.000
Sr 4.775 4.770 5.945
Sr 3.373 3.369 10.559
CELL_PARAMETERS angstrom
4.889 0.116 0.213
0.122 4.889 0.213
3.137 3.133 16.079

3.
! Mn2MoIr (PBE, optimized geometry); values from VASP
! DFT formation energy: -0.02 eV/atom
! SG: I4/mmm (139)
! E: -9.530 eV/atom
&SYSTEM
  ibrav = 0, nat = 4, ntyp = 3
/
ATOMIC_SPECIES
Ir 192.22 Ir.upf
Mo 95.94 Mo.upf
Mn 54.94 Mn.upf
ATOMIC_POSITIONS angstrom
Ir 0.219 1.287 2.307
Mo -0.273 -1.353 2.263
Mn -2.172 0.356 2.971
Mn 0.000 0.000 0.000
CELL_PARAMETERS angstrom
-1.679 2.997 3.015
-2.665 -2.285 2.927
4.290 -0.777 -1.372

4.
! NdPuSe2 (PBE, optimized geometry); values from VASP
! SG: P6_3/mmc (194)
! E_form (uncorrected): -636 kJ/mol of formula units
! E: -8.165 eV/atom
! relative energy among the computed polymorphs: 0.054 eV/atom
&SYSTEM
  ibrav = 0, nat = 8, ntyp = 3
/
ATOMIC_SPECIES
Se 78.96 Se.upf
Pu 244.00 Pu.upf
Nd 144.24 Nd.upf
ATOMIC_POSITIONS angstrom
Se 2.053 1.185 8.972
Se 0.000 2.371 1.798
Se 2.053 1.185 12.550
Se 0.000 2.371 5.376
Pu 0.000 2.371 10.761
Pu 2.053 1.185 3.587
Nd 0.000 0.000 7.174
Nd 0.000 0.000 0.000
CELL_PARAMETERS angstrom
4.107 0.000 0.000
-2.053 3.556 0.000
0.000 0.000 14.348